Record 1
This record from Alexandria via LeMat-Bulk describes an optimized crystal structure of Cs11CdHg2. The functional is PBE.

Computed properties:
Formation energy (meV per atom): -29
Calculated volume (Å³/atom): 97.16

Cell lengths 15.5043, 15.5043, 15.5043 Å; angles 124.00, 106.19, 99.32 degrees
With the nearest neighbours (Å) after each atom.
Element x y z (fractional)
Cs1 0.0000 0.0000 0.0000  2 Hg 3.85
Cs2 0.0419 0.4509 0.8092  1 Hg 3.98, 1 Cd 4.45
Cs3 0.0745 0.8379 0.6556  1 Hg 4.02, 1 Cd 4.03
Cs4 0.1416 0.9509 0.4089  1 Hg 3.98, 1 Cd 4.45
Cs5 0.1823 0.4189 0.3444  1 Hg 4.02, 1 Cd 4.03
Cs6 0.2208 0.8719 0.0927  2 Hg 3.86-4.06
Cs7 0.2792 0.3719 0.6511  2 Hg 3.86-4.06
Cs8 0.3177 0.6621 0.2366  1 Hg 4.02, 1 Cd 4.03
Cs9 0.3584 0.7673 0.8092  1 Hg 3.98, 1 Cd 4.45
Cs10 0.4255 0.0811 0.7634  1 Hg 4.02, 1 Cd 4.03
Cs11 0.4581 0.2673 0.4089  1 Hg 3.98, 1 Cd 4.45
Cs12 0.5000 0.5000 0.0000  2 Hg 3.85
Cs13 0.5419 0.7327 0.5911  1 Hg 3.98, 1 Cd 4.45
Cs14 0.5745 0.9189 0.2366  1 Hg 4.02, 1 Cd 4.03
Cs15 0.6416 0.2327 0.1908  1 Hg 3.98, 1 Cd 4.45
Cs16 0.6823 0.3379 0.7634  1 Hg 4.02, 1 Cd 4.03
Cs17 0.7208 0.6281 0.3489  2 Hg 3.86-4.06
Cs18 0.7792 0.1281 0.9073  2 Hg 3.86-4.06
Cs19 0.8177 0.5811 0.6556  1 Hg 4.02, 1 Cd 4.03
Cs20 0.8584 0.0491 0.5911  1 Hg 3.98, 1 Cd 4.45
Cs21 0.9255 0.1621 0.3444  1 Hg 4.02, 1 Cd 4.03
Cs22 0.9581 0.5491 0.1908  1 Hg 3.98, 1 Cd 4.45
Cd1 0.2500 0.7500 0.5000  8 Cs 4.03-4.45
Cd2 0.7500 0.2500 0.5000  8 Cs 4.03-4.45
Hg1 0.1736 0.1442 0.3178  7 Cs 3.85-4.06
Hg2 0.3264 0.6442 0.9706  7 Cs 3.85-4.06
Hg3 0.6736 0.3558 0.0294  7 Cs 3.85-4.06
Hg4 0.8264 0.8558 0.6822  7 Cs 3.85-4.06

Record 2
This record from Alexandria via LeMat-Bulk describes an optimized crystal structure of CsCd3Hg3. The functional is PBE.

Computed properties:
Formation energy (meV per atom): -4
Calculated volume (Å³/atom): 38.65

Cell lengths 8.1491, 8.1491, 8.1491 Å; angles 90.00, 90.00, 90.00 degrees
With the nearest neighbours (Å) after each atom.
Element x y z (fractional)
Cs1 0.0000 0.0000 0.0000  12 Hg 4.56, 12 Cd 4.56
Cs2 0.5000 0.5000 0.5000  12 Hg 4.56, 12 Cd 4.56
Cd1 0.0000 0.2500 0.5000  4 Hg 2.88
Cd2 0.0000 0.7500 0.5000  4 Hg 2.88
Cd3 0.2500 0.5000 0.0000  4 Hg 2.88
Cd4 0.5000 0.0000 0.2500  4 Hg 2.88
Cd5 0.5000 0.0000 0.7500  4 Hg 2.88
Cd6 0.7500 0.5000 0.0000  4 Hg 2.88
Hg1 0.0000 0.5000 0.2500  4 Cd 2.88
Hg2 0.0000 0.5000 0.7500  4 Cd 2.88
Hg3 0.2500 0.0000 0.5000  4 Cd 2.88
Hg4 0.5000 0.2500 0.0000  4 Cd 2.88
Hg5 0.5000 0.7500 0.0000  4 Cd 2.88
Hg6 0.7500 0.0000 0.5000  4 Cd 2.88

Record 3
This record from Alexandria via LeMat-Bulk describes an optimized crystal structure of Cs2CdHg8. The functional is PBE.

Computed properties:
Formation energy (meV per atom): -156
Calculated volume (Å³/atom): 35.69
ΔE to the lowest computed polymorph (meV per atom): 0

Cell lengths 6.5586, 7.4179, 9.0878 Å; angles 71.73, 69.75, 87.98 degrees
With the nearest neighbours (Å) after each atom.
Element x y z (fractional)
Cs1 0.1013 0.1902 0.2089  12 Hg 3.77-4.15, 1 Cd 3.92
Cs2 0.8988 0.8098 0.7911  12 Hg 3.77-4.15, 1 Cd 3.92
Cd1 0.5000 0.0000 0.5000  4 Hg 2.97-3.22
Hg1 0.1461 0.3663 0.5826  5 Hg 3.12-3.30
Hg2 0.2687 0.7170 0.0757  5 Hg 3.15-3.40
Hg3 0.4087 0.1179 0.7986  1 Cd 2.97, 4 Hg 3.15-3.18
Hg4 0.4246 0.5643 0.7402  5 Hg 3.18-3.40, 1 Cd 3.22
Hg5 0.5754 0.4357 0.2598  5 Hg 3.18-3.40, 1 Cd 3.22
Hg6 0.5913 0.8821 0.2014  1 Cd 2.97, 4 Hg 3.15-3.18
Hg7 0.7313 0.2830 0.9243  5 Hg 3.15-3.40
Hg8 0.8539 0.6337 0.4174  5 Hg 3.12-3.30